1.
A crystal of TlRh relaxed with PBEsol, computed with SCAN.

Geometry as POSCAR:
```
TlRh
1.0
-0.020 -2.062 -2.228
-2.117 -1.588 1.488
-5.902 4.241 -3.871
Rh Tl
2 2
direct
0.500 0.000 0.907
0.000 0.500 0.093
0.500 0.000 0.330
0.000 0.500 0.670
```

Summary:
The symmetry is P4/nmm (129).

=====

2.
A crystal of Tl2Rh relaxed with PBEsol, computed with SCAN.

Geometry as POSCAR:
```
Tl2Rh
1.0
-1.947 -2.224 2.234
0.839 -5.288 -4.533
8.117 -2.576 4.508
Rh Tl
4 8
direct
0.750 0.208 0.329
0.250 0.292 0.829
0.750 0.708 0.171
0.250 0.792 0.671
0.750 0.005 0.811
0.250 0.495 0.311
0.750 0.505 0.689
0.250 0.995 0.189
0.750 0.824 0.452
0.250 0.676 0.952
0.750 0.324 0.048
0.250 0.176 0.548
```

Summary:
The symmetry is Pnma (62).

=====

3.
A crystal of Tl3Rh relaxed with PBEsol, computed with SCAN.

Geometry as POSCAR:
```
Tl3Rh
1.0
-0.602 3.870 -4.327
-7.360 -0.214 0.832
0.441 6.216 5.499
Rh Tl
4 12
direct
0.951 0.867 0.250
0.451 0.633 0.750
0.549 0.367 0.250
0.049 0.133 0.750
0.384 0.022 0.250
0.884 0.478 0.750
0.116 0.522 0.250
0.616 0.978 0.750
0.864 0.179 0.059
0.364 0.321 0.941
0.636 0.679 0.441
0.136 0.821 0.559
0.136 0.821 0.941
0.636 0.679 0.059
0.364 0.321 0.559
0.864 0.179 0.441
```

Summary:
As for the distance to the lowest polymorph of the same formula: 53 meV per atom. The symmetry is Pnma (62).

=====

One value per record, in order, for volume: 18.97 20.87 22.46 Å³ per atom.
One value per record, in order, for E: -211.2 -713.0 -1002.2 eV per cell.
One value per record, in order, for ΔE_f: 0.6 0.2 0.3 eV/f.u..